1.
Entry from Alexandria via LeMat-Bulk: RuW2N2 at its PBEsol-relaxed geometry (meta-GGA SCAN).

Values from the calculation:
- Spin magnetization: 0.0 Bohr magnetons per cell
- Energy relative to the elements, uncorrected: 0.04 eV/atom
- Fermi-level density of states: 2.27 states/eV/cell

a b c (Å): 4.6410 4.6410 4.6410
angles (deg): 127.13 127.13 78.03
Closest atoms and distances in Å follow each position.
Atoms (fractional coordinates):
Ru  0.0000  0.0000  0.0000  2 N 2.01
W  0.2500  0.7500  0.5000  4 N 2.08
W  0.7500  0.2500  0.5000  4 N 2.08
N  0.2790  0.2790  0.0000  1 Ru 2.01, 4 W 2.08
N  0.7210  0.7210  0.0000  1 Ru 2.01, 4 W 2.08

2.
Entry from Alexandria via LeMat-Bulk: RuWN3 at its PBEsol-relaxed geometry (meta-GGA SCAN).

Values from the calculation:
- Spin magnetization: 0.0 Bohr magnetons per cell
- Energy relative to the elements, uncorrected: 1.66 eV/atom
- Fermi-level density of states: 4.77 states/eV/cell

a b c (Å): 3.7568 3.7568 3.7568
angles (deg): 90.00 90.00 90.00
Closest atoms and distances in Å follow each position.
Atoms (fractional coordinates):
Ru  0.0000  0.0000  0.0000  6 N 1.88
W  0.5000  0.5000  0.5000  12 N 2.66
N  0.0000  0.0000  0.5000  2 Ru 1.88
N  0.0000  0.5000  0.0000  2 Ru 1.88
N  0.5000  0.0000  0.0000  2 Ru 1.88

3.
Entry from Alexandria via LeMat-Bulk: RuWN3 at its PBEsol-relaxed geometry (meta-GGA SCAN).

Values from the calculation:
- Spin magnetization: 2.6 Bohr magnetons per cell
- Energy relative to the elements, uncorrected: 0.94 eV/atom
- Fermi-level density of states: 2.64 states/eV/cell

a b c (Å): 3.8981 3.8981 3.8981
angles (deg): 90.00 90.00 90.00
Closest atoms and distances in Å follow each position.
Atoms (fractional coordinates):
Ru  0.0000  0.0000  0.0000  12 N 2.76
W  0.5000  0.5000  0.5000  6 N 1.95
N  0.0000  0.5000  0.5000  2 W 1.95
N  0.5000  0.0000  0.5000  2 W 1.95
N  0.5000  0.5000  0.0000  2 W 1.95

4.
Entry from Alexandria via LeMat-Bulk: YRuN2 at its PBEsol-relaxed geometry (meta-GGA SCAN).

Values from the calculation:
- Spin magnetization: 0.0 Bohr magnetons per cell
- Energy relative to the elements, uncorrected: -0.46 eV/atom
- Fermi-level density of states: 1.07 states/eV/cell

a b c (Å): 6.0977 6.0977 6.0977
angles (deg): 33.74 33.74 33.74
Closest atoms and distances in Å follow each position.
Atoms (fractional coordinates):
Y  0.0000  0.0000  0.0000  6 N 2.31
Ru  0.5000  0.5000  0.5000  2 N 1.79
N  0.3963  0.3963  0.3963  1 Ru 1.79
N  0.6037  0.6037  0.6037  1 Ru 1.79

5.
Entry from Alexandria via LeMat-Bulk: Zr3RuN at its PBEsol-relaxed geometry (meta-GGA SCAN).

Values from the calculation:
- Spin magnetization: 0.0 Bohr magnetons per cell
- Energy relative to the elements, uncorrected: -0.89 eV/atom
- Fermi-level density of states: 5.13 states/eV/cell

a b c (Å): 4.3749 4.3749 4.3749
angles (deg): 90.00 90.00 90.00
Closest atoms and distances in Å follow each position.
Atoms (fractional coordinates):
Zr  0.0000  0.0000  0.5000  2 N 2.19
Zr  0.0000  0.5000  0.0000  2 N 2.19
Zr  0.5000  0.0000  0.0000  2 N 2.19
Ru  0.5000  0.5000  0.5000  12 Zr 3.09
N  0.0000  0.0000  0.0000  6 Zr 2.19

6.
Entry from Alexandria via LeMat-Bulk: Zr4Ru2N at its PBEsol-relaxed geometry (meta-GGA SCAN).

Values from the calculation:
- Spin magnetization: 0.0 Bohr magnetons per cell
- Energy relative to the elements, uncorrected: -1.00 eV/atom
- Fermi-level density of states: 12.69 states/eV/cell

a b c (Å): 8.6688 8.6688 8.6688
angles (deg): 60.00 60.00 60.00
Closest atoms and distances in Å follow each position.
Atoms (fractional coordinates):
Zr  0.0000  0.0000  0.0000  6 Ru 2.68
Zr  0.0000  0.0000  0.5000  6 Ru 2.68
Zr  0.0000  0.5000  0.0000  6 Ru 2.68
Zr  0.1907  0.1907  0.5593  2 N 2.29
Zr  0.1907  0.5593  0.1907  2 N 2.29
Zr  0.1907  0.5593  0.5593  2 N 2.29
Zr  0.4407  0.4407  0.8093  2 N 2.29
Zr  0.4407  0.8093  0.4407  2 N 2.29
Zr  0.4407  0.8093  0.8093  2 N 2.29
Zr  0.5000  0.0000  0.0000  6 Ru 2.68
Zr  0.5593  0.1907  0.1907  2 N 2.29
Zr  0.5593  0.1907  0.5593  2 N 2.29
Zr  0.5593  0.5593  0.1907  2 N 2.29
Zr  0.8093  0.4407  0.4407  2 N 2.29
Zr  0.8093  0.4407  0.8093  2 N 2.29
Zr  0.8093  0.8093  0.4407  2 N 2.29
Ru  0.1355  0.7882  0.7882  6 Zr 2.68-2.84
Ru  0.2118  0.2118  0.2118  6 Zr 2.68-2.84
Ru  0.2118  0.2118  0.8645  6 Zr 2.68-2.84
Ru  0.2118  0.8645  0.2118  6 Zr 2.68-2.84
Ru  0.7882  0.1355  0.7882  6 Zr 2.68-2.84
Ru  0.7882  0.7882  0.1355  6 Zr 2.68-2.84
Ru  0.7882  0.7882  0.7882  6 Zr 2.68-2.84
Ru  0.8645  0.2118  0.2118  6 Zr 2.68-2.84
N  0.0000  0.5000  0.5000  6 Zr 2.29
N  0.5000  0.0000  0.5000  6 Zr 2.29
N  0.5000  0.5000  0.0000  6 Zr 2.29
N  0.5000  0.5000  0.5000  6 Zr 2.29

7.
Entry from Alexandria via LeMat-Bulk: SbS2N at its PBEsol-relaxed geometry (meta-GGA SCAN).

Values from the calculation:
- Spin magnetization: 0.0 Bohr magnetons per cell
- Energy relative to the elements, uncorrected: 1.04 eV/atom
- Fermi-level density of states: 4.94 states/eV/cell

a b c (Å): 6.3976 6.3976 6.3976
angles (deg): 131.40 131.40 71.18
Closest atoms and distances in Å follow each position.
Atoms (fractional coordinates):
Sb  0.0000  0.0000  0.0000  4 S 2.96
Sb  0.7500  0.2500  0.5000  4 S 2.96
S  0.3131  0.6250  0.1881  2 N 1.88
S  0.3750  0.5631  0.6881  2 N 1.88
S  0.4369  0.1250  0.8119  2 N 1.88
S  0.8750  0.6869  0.3119  2 N 1.88
N  0.2500  0.7500  0.5000  4 S 1.88
N  0.5000  0.5000  0.0000  4 S 1.88

8.
Entry from Alexandria via LeMat-Bulk: SbS2N at its PBEsol-relaxed geometry (meta-GGA SCAN).

Values from the calculation:
- Spin magnetization: 1.7 Bohr magnetons per cell
- Energy relative to the elements, uncorrected: 1.39 eV/atom
- Fermi-level density of states: 2.68 states/eV/cell

a b c (Å): 4.4646 4.4646 4.4646
angles (deg): 60.00 60.00 60.00
Closest atoms and distances in Å follow each position.
Atoms (fractional coordinates):
Sb  0.0000  0.0000  0.0000  8 S 2.73
S  0.2500  0.2500  0.2500  4 Sb 2.73, 4 N 2.73
S  0.7500  0.7500  0.7500  4 Sb 2.73, 4 N 2.73
N  0.5000  0.5000  0.5000  8 S 2.73

9.
Entry from Alexandria via LeMat-Bulk: SbSe2SN at its PBEsol-relaxed geometry (meta-GGA SCAN).

Values from the calculation:
- Spin magnetization: 0.0 Bohr magnetons per cell
- Energy relative to the elements, uncorrected: 0.84 eV/atom
- Fermi-level density of states: 2.94 states/eV/cell

a b c (Å): 5.0823 5.0823 3.4635
angles (deg): 90.00 90.00 90.00
Closest atoms and distances in Å follow each position.
Atoms (fractional coordinates):
Sb  0.0000  0.0000  0.0000  8 Se 3.08
Se  0.0000  0.5000  0.5000  2 S 2.54
Se  0.5000  0.0000  0.5000  2 S 2.54
S  0.5000  0.5000  0.5000  2 N 1.73
N  0.5000  0.5000  0.0000  2 S 1.73

10.
Entry from Alexandria via LeMat-Bulk: TaSbSN2 at its PBEsol-relaxed geometry (meta-GGA SCAN).

Values from the calculation:
- Spin magnetization: 1.6 Bohr magnetons per cell
- Energy relative to the elements, uncorrected: 1.44 eV/atom
- Fermi-level density of states: 3.13 states/eV/cell

a b c (Å): 3.9653 3.9653 4.8092
angles (deg): 90.00 90.00 90.00
Closest atoms and distances in Å follow each position.
Atoms (fractional coordinates):
Ta  0.0000  0.0000  0.0000  4 S 2.80, 8 N 3.12
Sb  0.5000  0.5000  0.5000  4 N 1.98
S  0.5000  0.5000  0.0000  2 Sb 2.40
N  0.0000  0.5000  0.5000  2 Sb 1.98
N  0.5000  0.0000  0.5000  2 Sb 1.98

11.
Entry from Alexandria via LeMat-Bulk: TiSbSN2 at its PBEsol-relaxed geometry (meta-GGA SCAN).

Values from the calculation:
- Spin magnetization: 0.0 Bohr magnetons per cell
- Energy relative to the elements, uncorrected: 0.12 eV/atom
- Fermi-level density of states: 1.61 states/eV/cell

a b c (Å): 3.9100 3.9100 4.8690
angles (deg): 90.00 90.00 90.00
Closest atoms and distances in Å follow each position.
Atoms (fractional coordinates):
Ti  0.0000  0.0000  0.0000  4 N 1.95
Sb  0.5000  0.5000  0.5000  4 S 2.76
S  0.0000  0.0000  0.5000  2 Ti 2.43
N  0.0000  0.5000  0.0000  2 Ti 1.95
N  0.5000  0.0000  0.0000  2 Ti 1.95

12.
Entry from Alexandria via LeMat-Bulk: SbWSN2 at its PBEsol-relaxed geometry (meta-GGA SCAN).

Values from the calculation:
- Spin magnetization: 2.7 Bohr magnetons per cell
- Energy relative to the elements, uncorrected: 1.86 eV/atom
- Fermi-level density of states: 1.87 states/eV/cell

a b c (Å): 3.9584 3.9584 4.8756
angles (deg): 90.00 90.00 90.00
Closest atoms and distances in Å follow each position.
Atoms (fractional coordinates):
Sb  0.0000  0.0000  0.0000  4 N 1.98
W  0.5000  0.5000  0.5000  4 S 2.80
S  0.0000  0.0000  0.5000  2 Sb 2.44
N  0.0000  0.5000  0.0000  2 Sb 1.98
N  0.5000  0.0000  0.0000  2 Sb 1.98

Question: Which of these has the highest Fermi-level density of states?
Answer: Zr4Ru2N